A plane-wave DFT calculation with PBE with a Hubbard U was carried out for an optimized crystal structure of SrCaCeCoO6.

```
SrCaCeCoO6
1.0
0.000 4.051 4.051
4.051 0.000 4.051
4.051 4.051 0.000
Sr Ca Ce Co O
1 1 1 1 6
Direct
0.000 0.000 0.000 Sr
0.500 0.500 0.500 Ca
0.750 0.750 0.750 Ce
0.250 0.250 0.250 Co
0.019 0.019 0.481 O
0.019 0.481 0.019 O
0.019 0.481 0.481 O
0.481 0.019 0.019 O
0.481 0.019 0.481 O
0.481 0.481 0.019 O
```

Computed properties:
Space group: F-43m (216)
Magnetization, Bohr magnetons per cell: 1.01
Electronic total energy, eV/atom: -6.737
Mass density, g cm⁻³: 5.3